Record 1
Here is an optimized crystal structure of YSiTe2N from the Alexandria database. Energies are from PBE-GGA.

Properties
Energy above the lowest structure with this stoichiometry in meV per atom: 799
Energy relative to the elements, uncorrected in eV/atom: 0.554

Structure (POSCAR):
```
YSiTe2N
1.0
5.981 0.000 0.000
0.000 5.981 0.000
0.000 0.000 4.101
Te N Y Si
2 1 1 1
direct
0.500 0.000 0.000 Te
0.000 0.500 0.000 Te
0.000 0.000 0.500 N
0.000 0.000 0.000 Y
0.500 0.500 0.500 Si
```



Record 2
Here is an optimized crystal structure of DyErAlAu from the Alexandria database. Energies are from PBE-GGA.

Properties
ΔE_f in meV/atom: -575
Energy above the lowest structure with this stoichiometry in meV per atom: 50

Structure (POSCAR):
```
DyErAlAu
1.0
5.108 0.000 0.000
2.554 4.424 0.000
2.554 1.475 4.171
Er Au Al Dy
1 1 1 1
direct
0.250 0.250 0.250 Er
0.000 0.000 0.000 Au
0.500 0.500 0.500 Al
0.750 0.750 0.750 Dy
```



Record 3
Here is an optimized crystal structure of SmTmSb2 from the Alexandria database. Energies are from PBE-GGA.

Properties
Energy above the lowest structure with this stoichiometry in meV per atom: 0
Energy relative to the elements, uncorrected in eV/atom: -1.119

Structure (POSCAR):
```
SmTmSb2
1.0
-1.229 -2.196 -3.620
-1.165 -1.486 3.984
-4.825 5.850 0.778
Tm Sb Sm
1 2 1
direct
0.000 0.000 0.000 Tm
0.506 0.253 0.759 Sb
0.494 0.747 0.241 Sb
0.000 0.500 0.500 Sm
```



Record 4
Here is an optimized crystal structure of Tb2Nd8Sm3 from the Alexandria database. Energies are from PBE-GGA.

Properties
ΔE_f in meV/atom: 208

Structure (POSCAR):
```
Tb2Nd8Sm3
1.0
5.750 0.000 0.797
0.000 7.741 0.000
-1.421 -3.870 10.192
Sm Nd Tb
3 8 2
direct
0.500 0.000 0.000 Sm
0.000 0.287 0.000 Sm
0.000 0.713 0.000 Sm
0.500 0.186 0.787 Nd
0.999 0.134 0.268 Nd
0.001 0.866 0.732 Nd
0.999 0.326 0.653 Nd
0.500 0.399 0.213 Nd
0.001 0.674 0.347 Nd
0.500 0.814 0.213 Nd
0.500 0.601 0.787 Nd
0.502 0.759 0.518 Tb
0.498 0.241 0.482 Tb
```



Record 5
Here is an optimized crystal structure of Sb4Br2O5 from the Alexandria database. Energies are from PBE-GGA.

Properties
Energy relative to the elements, uncorrected in eV/atom: -1.197

Structure (POSCAR):
```
Sb4Br2O5
1.0
5.246 0.000 0.000
0.000 6.721 -0.002
0.000 1.458 13.749
Sb Br O
8 4 10
direct
0.778 0.173 0.951 Sb
0.895 0.808 0.796 Sb
0.395 0.192 0.704 Sb
0.722 0.173 0.451 Sb
0.105 0.192 0.204 Sb
0.222 0.827 0.049 Sb
0.278 0.827 0.549 Sb
0.605 0.808 0.296 Sb
0.289 0.508 0.882 Br
0.211 0.508 0.382 Br
0.789 0.492 0.618 Br
0.711 0.492 0.118 Br
0.008 0.932 0.918 O
0.826 0.071 0.290 O
0.174 0.929 0.710 O
0.000 0.000 0.500 O
0.674 0.071 0.790 O
0.500 0.000 0.000 O
0.492 0.932 0.418 O
0.992 0.068 0.082 O
0.326 0.929 0.210 O
0.508 0.068 0.582 O
```



Record 6
Here is an optimized crystal structure of Tb6Sm12Ho from the Alexandria database. Energies are from PBE-GGA.

Properties
ΔE_f in meV/atom: 238
Energy above the lowest structure with this stoichiometry in meV per atom: 97

Structure (POSCAR):
```
Tb6Sm12Ho
1.0
-1.518 8.473 -3.272
-0.878 -5.776 -7.119
-6.914 -1.873 5.788
Ho Tb Sm
1 6 12
direct
0.000 0.000 0.000 Ho
0.547 0.921 0.809 Tb
0.079 0.191 0.453 Tb
0.191 0.453 0.079 Tb
0.453 0.079 0.191 Tb
0.921 0.809 0.547 Tb
0.809 0.547 0.921 Tb
0.484 0.191 0.581 Sm
0.191 0.581 0.484 Sm
0.279 0.133 0.826 Sm
0.133 0.826 0.279 Sm
0.174 0.721 0.867 Sm
0.419 0.516 0.809 Sm
0.826 0.279 0.133 Sm
0.516 0.809 0.419 Sm
0.867 0.174 0.721 Sm
0.721 0.867 0.174 Sm
0.581 0.484 0.191 Sm
0.809 0.419 0.516 Sm
```



Record 7
Here is an optimized crystal structure of Ga2HgSe2 from the Alexandria database. Energies are from PBE-GGA.

Properties
Energy above the lowest structure with this stoichiometry in meV per atom: 0
Energy relative to the elements, uncorrected in eV/atom: -0.460

Structure (POSCAR):
```
Ga2HgSe2
1.0
3.813 0.045 0.112
1.855 3.298 0.486
-0.542 0.631 11.986
Ga Se Hg
2 2 1
direct
0.540 0.931 0.604 Ga
0.460 0.069 0.396 Ga
0.756 0.468 0.297 Se
0.244 0.532 0.703 Se
0.000 0.000 0.000 Hg
```



Record 8
Here is an optimized crystal structure of TbTmPa4 from the Alexandria database. Energies are from PBE-GGA.

Properties
ΔE_f in meV/atom: 232

Structure (POSCAR):
```
TbTmPa4
1.0
6.142 0.000 0.000
3.071 5.320 0.000
3.071 1.773 5.015
Pa Tb Tm
4 1 1
direct
0.125 0.625 0.625 Pa
0.625 0.625 0.625 Pa
0.625 0.625 0.125 Pa
0.625 0.125 0.625 Pa
0.250 0.250 0.250 Tb
0.000 0.000 0.000 Tm
```



Record 9
Here is an optimized crystal structure of TiNbAl2 from the Alexandria database. Energies are from PBE-GGA.

Properties
ΔE_f in meV/atom: -161
Energy above the lowest structure with this stoichiometry in meV per atom: 227

Structure (POSCAR):
```
TiNbAl2
1.0
0.000 3.207 3.207
3.207 0.000 3.207
3.207 3.207 0.000
Nb Al Ti
1 2 1
direct
0.500 0.500 0.500 Nb
0.250 0.250 0.250 Al
0.750 0.750 0.750 Al
0.000 0.000 0.000 Ti
```



Record 10
Here is an optimized crystal structure of MnNb2CoN from the Alexandria database. Energies are from PBE-GGA.

Properties
Energy relative to the elements, uncorrected in eV/atom: -0.320

Structure (POSCAR):
```
MnNb2CoN
1.0
-0.024 4.247 -0.040
-3.941 -0.007 1.582
1.379 0.040 3.436
N Mn Nb Co
1 1 2 1
direct
0.000 0.000 0.000 N
0.000 0.000 0.500 Mn
0.500 0.000 0.000 Nb
0.000 0.500 0.000 Nb
0.500 0.500 0.500 Co
```



Record 11
Here is an optimized crystal structure of Pr2DyAl4Pt3 from the Alexandria database. Energies are from PBE-GGA.

Properties
ΔE_f in meV/atom: -909

Structure (POSCAR):
```
Pr2DyAl4Pt3
1.0
-0.977 -0.859 -4.092
-3.965 -1.144 1.187
-3.564 10.863 -1.430
Al Pr Pt Dy
4 2 3 1
direct
0.000 0.000 0.000 Al
0.500 0.500 0.000 Al
0.000 0.500 0.332 Al
0.500 0.000 0.668 Al
0.500 0.000 0.228 Pr
0.000 0.500 0.772 Pr
0.000 0.000 0.500 Pt
0.000 0.500 0.119 Pt
0.500 0.000 0.881 Pt
0.500 0.500 0.500 Dy
```



Record 12
Here is an optimized crystal structure of Tl6CuF8 from the Alexandria database. Energies are from PBE-GGA.

Properties
Energy relative to the elements, uncorrected in eV/atom: -1.616

Structure (POSCAR):
```
Tl6CuF8
1.0
-3.340 -1.362 -6.672
5.114 -5.570 0.597
-5.310 -1.912 5.068
F Cu Tl
8 1 6
direct
0.813 0.813 0.813 F
0.445 0.588 0.184 F
0.555 0.412 0.816 F
0.187 0.187 0.187 F
0.588 0.184 0.445 F
0.412 0.816 0.555 F
0.816 0.555 0.412 F
0.184 0.445 0.588 F
0.000 0.000 0.000 Cu
0.860 0.447 0.699 Tl
0.553 0.301 0.140 Tl
0.301 0.140 0.553 Tl
0.447 0.699 0.860 Tl
0.699 0.860 0.447 Tl
0.140 0.553 0.301 Tl
```